#w
## La2Pr3Hg2 (GGA-PBE)

Data for a geometry-optimized La2Pr3Hg2 structure.

CIF file:
```
data_La2Pr3Hg2
_chemical_formula_sum 'La2 Pr3 Hg2'
_space_group_name_H-M_alt 'P 1'
_space_group_IT_number 1
_space_group_name_Hall 'P 1'
_cell_length_a 4.808
_cell_length_b 6.631
_cell_length_c 8.534
_cell_angle_alpha 110.82
_cell_angle_beta 90.00
_cell_angle_gamma 111.26
loop_
_atom_site_label
_atom_site_type_symbol
_atom_site_fract_x
_atom_site_fract_y
_atom_site_fract_z
_atom_site_occupancy
La1 La 0.859 0.719 0.203 1
La2 La 0.141 0.281 0.797 1
Pr1 Pr 0.500 0.000 0.000 1
Pr2 Pr 0.628 0.256 0.461 1
Pr3 Pr 0.372 0.744 0.539 1
Hg1 Hg 0.846 0.693 0.797 1
Hg2 Hg 0.154 0.307 0.203 1
```

---

#x
## La2Pr3Hg2 (GGA-PBE)

Data for a geometry-optimized La2Pr3Hg2 structure.

CIF file:
```
data_La2Pr3Hg2
_chemical_formula_sum 'La2 Pr3 Hg2'
_space_group_name_H-M_alt 'P 1'
_space_group_IT_number 1
_space_group_name_Hall 'P 1'
_cell_length_a 3.798
_cell_length_b 3.768
_cell_length_c 16.004
_cell_angle_alpha 90.00
_cell_angle_beta 96.81
_cell_angle_gamma 90.00
loop_
_atom_site_label
_atom_site_type_symbol
_atom_site_fract_x
_atom_site_fract_y
_atom_site_fract_z
_atom_site_occupancy
La1 La 0.294 0.500 0.589 1
La2 La 0.706 0.500 0.411 1
Pr1 Pr 0.419 0.500 0.839 1
Pr2 Pr 0.581 0.500 0.161 1
Pr3 Pr 0.000 0.000 0.000 1
Hg1 Hg 0.141 0.000 0.282 1
Hg2 Hg 0.859 0.000 0.718 1
```

---

The structure with the greatest stability is #x.

---

#w
## La3Pr2Hg (GGA-PBE)

Data for a geometry-optimized La3Pr2Hg structure.

CIF file:
```
data_La3Pr2Hg
_chemical_formula_sum 'La3 Pr2 Hg1'
_space_group_name_H-M_alt 'P 1'
_space_group_IT_number 1
_space_group_name_Hall 'P 1'
_cell_length_a 3.788
_cell_length_b 3.788
_cell_length_c 14.437
_cell_angle_alpha 90.00
_cell_angle_beta 90.00
_cell_angle_gamma 90.00
loop_
_atom_site_label
_atom_site_type_symbol
_atom_site_fract_x
_atom_site_fract_y
_atom_site_fract_z
_atom_site_occupancy
La1 La 0.000 0.000 0.000 1
La2 La 0.000 0.000 0.642 1
La3 La 0.000 0.000 0.358 1
Pr1 Pr 0.500 0.500 0.821 1
Pr2 Pr 0.500 0.500 0.179 1
Hg1 Hg 0.500 0.500 0.500 1
```

---

#x
## La3Pr2Hg (GGA-PBE)

Data for a geometry-optimized La3Pr2Hg structure.

CIF file:
```
data_La3Pr2Hg
_chemical_formula_sum 'La6 Pr4 Hg2'
_space_group_name_H-M_alt 'P 1'
_space_group_IT_number 1
_space_group_name_Hall 'P 1'
_cell_length_a 6.379
_cell_length_b 6.382
_cell_length_c 11.742
_cell_angle_alpha 84.78
_cell_angle_beta 79.52
_cell_angle_gamma 60.02
loop_
_atom_site_label
_atom_site_type_symbol
_atom_site_fract_x
_atom_site_fract_y
_atom_site_fract_z
_atom_site_occupancy
La1 La 0.427 0.651 0.763 1
La2 La 0.268 0.000 0.236 1
La3 La 0.573 0.349 0.237 1
La4 La 0.922 0.651 0.237 1
La5 La 0.078 0.349 0.763 1
La6 La 0.732 0.000 0.764 1
Pr1 Pr 0.000 0.000 0.000 1
Pr2 Pr 0.500 0.000 0.500 1
Pr3 Pr 0.163 0.674 0.500 1
Pr4 Pr 0.837 0.326 0.500 1
Hg1 Hg 0.667 0.665 0.000 1
Hg2 Hg 0.333 0.335 0.000 1
```

---

The structure with the greatest stability is #w.

---

#w
## La4PrHg (GGA-PBE)

Data for a geometry-optimized La4PrHg structure.

CIF file:
```
data_La4PrHg
_chemical_formula_sum 'La8 Pr2 Hg2'
_space_group_name_H-M_alt 'P 1'
_space_group_IT_number 1
_space_group_name_Hall 'P 1'
_cell_length_a 5.828
_cell_length_b 6.624
_cell_length_c 11.029
_cell_angle_alpha 90.00
_cell_angle_beta 105.32
_cell_angle_gamma 90.00
loop_
_atom_site_label
_atom_site_type_symbol
_atom_site_fract_x
_atom_site_fract_y
_atom_site_fract_z
_atom_site_occupancy
La1 La 0.939 0.207 0.879 1
La2 La 0.061 0.707 0.121 1
La3 La 0.458 0.890 0.917 1
La4 La 0.542 0.390 0.083 1
La5 La 0.689 0.551 0.377 1
La6 La 0.311 0.051 0.623 1
La7 La 0.755 0.137 0.510 1
La8 La 0.245 0.637 0.490 1
Pr1 Pr 0.867 0.695 0.734 1
Pr2 Pr 0.133 0.195 0.266 1
Hg1 Hg 0.609 0.952 0.218 1
Hg2 Hg 0.391 0.452 0.782 1
```

---

#x
## La4PrHg (GGA-PBE)

Data for a geometry-optimized La4PrHg structure.

CIF file:
```
data_La4PrHg
_chemical_formula_sum 'La4 Pr1 Hg1'
_space_group_name_H-M_alt 'P 1'
_space_group_IT_number 1
_space_group_name_Hall 'P 1'
_cell_length_a 3.793
_cell_length_b 3.793
_cell_length_c 14.256
_cell_angle_alpha 90.00
_cell_angle_beta 90.00
_cell_angle_gamma 90.00
loop_
_atom_site_label
_atom_site_type_symbol
_atom_site_fract_x
_atom_site_fract_y
_atom_site_fract_z
_atom_site_occupancy
La1 La 0.500 0.500 0.820 1
La2 La 0.500 0.500 0.180 1
La3 La 0.000 0.000 0.643 1
La4 La 0.000 0.000 0.357 1
Pr1 Pr 0.000 0.000 0.000 1
Hg1 Hg 0.500 0.500 0.500 1
```

---

The structure with the greatest stability is #x.

---

#w
## La6PrHg2 (GGA-PBE)

Data for a geometry-optimized La6PrHg2 structure.

CIF file:
```
data_La6PrHg2
_chemical_formula_sum 'La6 Pr1 Hg2'
_space_group_name_H-M_alt 'P 1'
_space_group_IT_number 1
_space_group_name_Hall 'P 1'
_cell_length_a 3.907
_cell_length_b 6.877
_cell_length_c 12.276
_cell_angle_alpha 75.07
_cell_angle_beta 80.84
_cell_angle_gamma 73.50
loop_
_atom_site_label
_atom_site_type_symbol
_atom_site_fract_x
_atom_site_fract_y
_atom_site_fract_z
_atom_site_occupancy
La1 La 0.683 0.510 0.124 1
La2 La 0.317 0.490 0.876 1
La3 La 0.310 0.789 0.591 1
La4 La 0.977 0.708 0.337 1
La5 La 0.023 0.292 0.663 1
La6 La 0.690 0.211 0.409 1
Pr1 Pr 0.000 0.000 0.000 1
Hg1 Hg 0.356 0.090 0.198 1
Hg2 Hg 0.644 0.910 0.802 1
```

---

#x
## La6PrHg2 (GGA-PBE)

Data for a geometry-optimized La6PrHg2 structure.

CIF file:
```
data_La6PrHg2
_chemical_formula_sum 'La6 Pr1 Hg2'
_space_group_name_H-M_alt 'P 1'
_space_group_IT_number 1
_space_group_name_Hall 'P 1'
_cell_length_a 5.160
_cell_length_b 5.160
_cell_length_c 11.815
_cell_angle_alpha 90.00
_cell_angle_beta 90.00
_cell_angle_gamma 90.00
loop_
_atom_site_label
_atom_site_type_symbol
_atom_site_fract_x
_atom_site_fract_y
_atom_site_fract_z
_atom_site_occupancy
La1 La 0.000 0.500 0.274 1
La2 La 0.500 0.000 0.274 1
La3 La 0.000 0.500 0.726 1
La4 La 0.500 0.000 0.726 1
La5 La 0.500 0.500 0.500 1
La6 La 0.000 0.000 0.500 1
Pr1 Pr 0.000 0.000 0.000 1
Hg1 Hg 0.500 0.500 0.115 1
Hg2 Hg 0.500 0.500 0.885 1
```

---

The structure with the greatest stability is #w.

---

#w
## LaPr2Hg2 (GGA-PBE)

Data for a geometry-optimized LaPr2Hg2 structure.

CIF file:
```
data_LaPr2Hg2
_chemical_formula_sum 'La2 Pr4 Hg4'
_space_group_name_H-M_alt 'P 1'
_space_group_IT_number 1
_space_group_name_Hall 'P 1'
_cell_length_a 3.900
_cell_length_b 5.574
_cell_length_c 14.307
_cell_angle_alpha 90.00
_cell_angle_beta 97.87
_cell_angle_gamma 90.00
loop_
_atom_site_label
_atom_site_type_symbol
_atom_site_fract_x
_atom_site_fract_y
_atom_site_fract_z
_atom_site_occupancy
La1 La 0.855 0.750 0.711 1
La2 La 0.145 0.250 0.289 1
Pr1 Pr 0.047 0.750 0.095 1
Pr2 Pr 0.953 0.250 0.905 1
Pr3 Pr 0.234 0.750 0.471 1
Pr4 Pr 0.766 0.250 0.529 1
Hg1 Hg 0.643 0.750 0.287 1
Hg2 Hg 0.357 0.250 0.713 1
Hg3 Hg 0.452 0.750 0.904 1
Hg4 Hg 0.548 0.250 0.096 1
```

---

#x
## LaPr2Hg2 (GGA-PBE)

Data for a geometry-optimized LaPr2Hg2 structure.

CIF file:
```
data_LaPr2Hg2
_chemical_formula_sum 'La2 Pr4 Hg4'
_space_group_name_H-M_alt 'P 1'
_space_group_IT_number 1
_space_group_name_Hall 'P 1'
_cell_length_a 6.863
_cell_length_b 8.533
_cell_length_c 8.382
_cell_angle_alpha 62.20
_cell_angle_beta 83.27
_cell_angle_gamma 47.76
loop_
_atom_site_label
_atom_site_type_symbol
_atom_site_fract_x
_atom_site_fract_y
_atom_site_fract_z
_atom_site_occupancy
La1 La 0.744 0.745 0.257 1
La2 La 0.256 0.255 0.743 1
Pr1 Pr 0.508 0.239 0.331 1
Pr2 Pr 0.008 0.733 0.829 1
Pr3 Pr 0.992 0.267 0.171 1
Pr4 Pr 0.492 0.761 0.669 1
Hg1 Hg 0.315 0.791 0.052 1
Hg2 Hg 0.819 0.277 0.570 1
Hg3 Hg 0.685 0.209 0.948 1
Hg4 Hg 0.181 0.723 0.430 1
```

---

The structure with the greatest stability is #w.

---

#w
## LaPr4Hg2 (GGA-PBE)

Data for a geometry-optimized LaPr4Hg2 structure.

CIF file:
```
data_LaPr4Hg2
_chemical_formula_sum 'La2 Pr8 Hg4'
_space_group_name_H-M_alt 'P 1'
_space_group_IT_number 1
_space_group_name_Hall 'P 1'
_cell_length_a 5.566
_cell_length_b 8.852
_cell_length_c 11.680
_cell_angle_alpha 113.68
_cell_angle_beta 76.22
_cell_angle_gamma 71.68
loop_
_atom_site_label
_atom_site_type_symbol
_atom_site_fract_x
_atom_site_fract_y
_atom_site_fract_z
_atom_site_occupancy
Pr1 Pr 0.291 0.079 0.340 1
Pr2 Pr 0.652 0.609 0.087 1
Pr3 Pr 0.994 0.315 0.698 1
Pr4 Pr 0.649 0.385 0.316 1
Pr5 Pr 0.351 0.615 0.684 1
Pr6 Pr 0.006 0.685 0.302 1
Pr7 Pr 0.348 0.391 0.913 1
Pr8 Pr 0.709 0.921 0.660 1
Hg1 Hg 0.666 0.162 0.506 1
Hg2 Hg 0.332 0.213 0.123 1
Hg3 Hg 0.668 0.787 0.877 1
Hg4 Hg 0.334 0.838 0.494 1
La1 La 0.029 0.872 0.071 1
La2 La 0.971 0.128 0.929 1
```

---

#x
## LaPr4Hg2 (GGA-PBE)

Data for a geometry-optimized LaPr4Hg2 structure.

CIF file:
```
data_LaPr4Hg2
_chemical_formula_sum 'La2 Pr8 Hg4'
_space_group_name_H-M_alt 'P 1'
_space_group_IT_number 1
_space_group_name_Hall 'P 1'
_cell_length_a 8.466
_cell_length_b 9.190
_cell_length_c 9.872
_cell_angle_alpha 141.03
_cell_angle_beta 108.53
_cell_angle_gamma 81.49
loop_
_atom_site_label
_atom_site_type_symbol
_atom_site_fract_x
_atom_site_fract_y
_atom_site_fract_z
_atom_site_occupancy
La1 La 0.088 0.236 0.171 1
La2 La 0.192 0.167 0.794 1
Pr1 Pr 0.851 0.112 0.333 1
Pr2 Pr 0.395 0.683 0.387 1
Pr3 Pr 0.878 0.684 0.623 1
Pr4 Pr 0.733 0.068 0.614 1
Pr5 Pr 0.324 0.119 0.442 1
Pr6 Pr 0.642 0.195 0.008 1
Pr7 Pr 0.363 0.755 0.825 1
Pr8 Pr 0.937 0.636 0.192 1
Hg1 Hg 0.717 0.576 0.807 1
Hg2 Hg 0.524 0.599 0.056 1
Hg3 Hg 0.498 0.298 0.336 1
Hg4 Hg 0.109 0.623 0.913 1
```

---

The structure with the greatest stability is #w.

---

#w
## La2Pr6Hg (GGA-PBE)

Data for a geometry-optimized La2Pr6Hg structure.

CIF file:
```
data_La2Pr6Hg
_chemical_formula_sum 'La2 Pr6 Hg1'
_space_group_name_H-M_alt 'P 1'
_space_group_IT_number 1
_space_group_name_Hall 'P 1'
_cell_length_a 3.631
_cell_length_b 9.863
_cell_length_c 10.225
_cell_angle_alpha 118.84
_cell_angle_beta 92.35
_cell_angle_gamma 90.00
loop_
_atom_site_label
_atom_site_type_symbol
_atom_site_fract_x
_atom_site_fract_y
_atom_site_fract_z
_atom_site_occupancy
La1 La 0.457 0.671 0.341 1
La2 La 0.543 0.329 0.659 1
Pr1 Pr 0.001 0.336 0.328 1
Pr2 Pr 0.999 0.008 0.672 1
Pr3 Pr 0.999 0.664 0.672 1
Pr4 Pr 0.500 0.287 0.000 1
Pr5 Pr 0.001 0.992 0.328 1
Pr6 Pr 0.500 0.713 0.000 1
Hg1 Hg 0.000 0.000 0.000 1
```

---

#x
## La2Pr6Hg (GGA-PBE)

Data for a geometry-optimized La2Pr6Hg structure.

CIF file:
```
data_La2Pr6Hg
_chemical_formula_sum 'La2 Pr6 Hg1'
_space_group_name_H-M_alt 'P 1'
_space_group_IT_number 1
_space_group_name_Hall 'P 1'
_cell_length_a 3.826
_cell_length_b 9.786
_cell_length_c 9.785
_cell_angle_alpha 120.01
_cell_angle_beta 90.00
_cell_angle_gamma 90.00
loop_
_atom_site_label
_atom_site_type_symbol
_atom_site_fract_x
_atom_site_fract_y
_atom_site_fract_z
_atom_site_occupancy
La1 La 0.000 0.333 0.666 1
La2 La 0.000 0.667 0.334 1
Pr1 Pr 0.500 0.622 0.000 1
Pr2 Pr 0.500 0.378 0.378 1
Pr3 Pr 0.500 0.000 0.622 1
Pr4 Pr 0.000 0.266 0.000 1
Pr5 Pr 0.000 0.734 0.734 1
Pr6 Pr 0.000 0.000 0.266 1
Hg1 Hg 0.500 0.000 0.000 1
```

---

The structure with the greatest stability is #x.

---

#w
## LaPrHgRh (GGA-PBE)

Data for a geometry-optimized LaPrHgRh structure.

CIF file:
```
data_LaPrHgRh
_chemical_formula_sum 'La1 Pr1 Hg1 Rh1'
_space_group_name_H-M_alt 'P 1'
_space_group_IT_number 1
_space_group_name_Hall 'P 1'
_cell_length_a 5.285
_cell_length_b 5.285
_cell_length_c 5.285
_cell_angle_alpha 60.00
_cell_angle_beta 60.00
_cell_angle_gamma 60.00
loop_
_atom_site_label
_atom_site_type_symbol
_atom_site_fract_x
_atom_site_fract_y
_atom_site_fract_z
_atom_site_occupancy
Pr1 Pr 0.250 0.250 0.250 1
Rh1 Rh 0.000 0.000 0.000 1
Hg1 Hg 0.500 0.500 0.500 1
La1 La 0.750 0.750 0.750 1
```

---

#x
## LaPrHgRh (GGA-PBE)

Data for a geometry-optimized LaPrHgRh structure.

CIF file:
```
data_LaPrHgRh
_chemical_formula_sum 'La1 Pr1 Hg1 Rh1'
_space_group_name_H-M_alt 'P 1'
_space_group_IT_number 1
_space_group_name_Hall 'P 1'
_cell_length_a 4.203
_cell_length_b 4.203
_cell_length_c 8.127
_cell_angle_alpha 90.00
_cell_angle_beta 104.96
_cell_angle_gamma 119.99
loop_
_atom_site_label
_atom_site_type_symbol
_atom_site_fract_x
_atom_site_fract_y
_atom_site_fract_z
_atom_site_occupancy
La1 La 0.103 0.949 0.067 1
Pr1 Pr 0.501 0.148 0.664 1
Hg1 Hg 0.972 0.384 0.370 1
Rh1 Rh 0.303 0.549 0.868 1
```

---

The structure with the greatest stability is #x.